{"formula": "NdTlSn2Te4", "functional": "PBE-GGA", "state": "relaxed", "lattice": [[7.9648, 0.0000, 0.0000], [0.0000, 4.5676, 0.0000], [-2.5435, 0.0000, 7.5826]], "species": ["Nd", "Tl", "Sn", "Sn", "Te", "Te", "Te", "Te"], "fractional_positions": [[0.0000, 0.0000, 0.0000], [0.0000, 0.5000, 0.5000], [0.5000, 0.0000, 0.5000], [0.5000, 0.5000, 0.0000], [0.2527, 0.5000, 0.2385], [0.2602, 0.0000, 0.7687], [0.7398, 0.0000, 0.2313], [0.7473, 0.5000, 0.7615]], "e_form_raw_ev_per_atom": -0.6260, "dft_energy_ev_per_atom": -4.09}